DFT (PBE+U) results for crystalline CsVCd2F8 at its relaxed geometry.

abc: 5.349 5.442 7.890
angles: 76.91 78.75 78.04
Each line ends with the local moment (μB).
Positions (direct):
Cs (0.000, 0.000, 0.500)  0.00
V (0.000, 0.000, 0.000)  1.90
Cd (0.452, 0.449, 0.738)  0.00
Cd (0.548, 0.551, 0.262)  0.00
F (0.162, 0.746, 0.194)  0.00
F (0.742, 0.782, 0.026)  -0.01
F (0.772, 0.196, 0.174)  0.00
F (0.838, 0.254, 0.806)  0.00
F (0.258, 0.218, 0.974)  -0.01
F (0.228, 0.804, 0.826)  0.00
F (0.620, 0.693, 0.489)  0.00
F (0.380, 0.307, 0.511)  0.00

Summary:
- calculated density (g/cm³) = 4.3
- calculated total energy (eV per atom) = -4.58